No. 1
First-principles (PBE-GGA) data for a geometry-optimized ZrAlCu structure, as listed in Alexandria.

```
data_ZrAlCu
_chemical_formula_sum 'Zr4 Al4 Cu4'
_cell_length_a 11.001
_cell_length_b 3.443
_cell_length_c 7.060
_cell_angle_alpha 90.00
_cell_angle_beta 129.65
_cell_angle_gamma 90.00
_symmetry_space_group_name_H-M 'C 1 2/m 1'
_symmetry_Int_Tables_number 12
_symmetry_space_group_name_Hall '-C 2y'
loop_
_atom_site_label
_atom_site_type_symbol
_atom_site_fract_x
_atom_site_fract_y
_atom_site_fract_z
_atom_site_occupancy
Zr1 Zr 0.089 0.000 0.325 1
Al1 Al 0.150 0.500 0.713 1
Cu1 Cu 0.142 0.500 0.067 1
```

calculated formation energy = -0.34 eV/atom
theoretical density = 5.86 g cm⁻³
electronic total energy = -69.6 eV/cell
D(E_F) = 5.28 states/eV/cell
crystal system = monoclinic

***

No. 2
First-principles (PBE-GGA) data for a geometry-optimized CaScCu2 structure, as listed in Alexandria.

```
data_CaScCu2
_chemical_formula_sum 'Ca3 Sc3 Cu6'
_cell_length_a 4.5541
_cell_length_b 4.5541
_cell_length_c 14.3418
_cell_angle_alpha 90.00
_cell_angle_beta 90.00
_cell_angle_gamma 120.00
_symmetry_space_group_name_H-M 'R -3 m'
_symmetry_Int_Tables_number 166
_symmetry_space_group_name_Hall '-R 3 2"'
loop_
_atom_site_label
_atom_site_type_symbol
_atom_site_fract_x
_atom_site_fract_y
_atom_site_fract_z
_atom_site_occupancy
Ca1 Ca 0.0000 0.0000 0.0000 1
Sc1 Sc 0.0000 0.0000 0.5000 1
Cu1 Cu 0.0000 0.0000 0.2027 1
```

calculated formation energy = -0.10 eV/atom
theoretical density = 4.10 g cm⁻³
E above lowest polymorph = 0.30 eV per formula unit
electronic total energy = -50.8 eV/cell
D(E_F) = 11.08 states/eV/cell
crystal system = trigonal

***

No. 3
First-principles (PBE-GGA) data for a geometry-optimized SiSbW structure, as listed in Alexandria.

```
data_SiSbW
_chemical_formula_sum 'Si1 Sb1 W1'
_cell_length_a 3.2540
_cell_length_b 3.2540
_cell_length_c 6.0644
_cell_angle_alpha 90.00
_cell_angle_beta 90.00
_cell_angle_gamma 120.00
_symmetry_space_group_name_H-M 'P 3 m 1'
_symmetry_Int_Tables_number 156
_symmetry_space_group_name_Hall 'P 3 -2"'
loop_
_atom_site_label
_atom_site_type_symbol
_atom_site_fract_x
_atom_site_fract_y
_atom_site_fract_z
_atom_site_occupancy
Si1 Si 0.0000 0.0000 0.0000 1
Sb1 Sb 0.3333 0.6667 0.6228 1
W1 W 0.6667 0.3333 0.2788 1
```

raw formation energy = 1.0 eV/f.u.
theoretical density = 9.96 g cm⁻³
E above lowest polymorph = 0.11 eV per formula unit
electronic total energy = -21.5 eV/cell
D(E_F) = 2.21 states/eV/cell
crystal system = trigonal

***

No. 4
First-principles (PBE-GGA) data for a geometry-optimized CaSn2PbBr8 structure, as listed in Alexandria.

```
data_CaSn2PbBr8
_chemical_formula_sum 'Ca1 Sn2 Pb1 Br8'
_cell_length_a 6.821
_cell_length_b 8.970
_cell_length_c 7.155
_cell_angle_alpha 90.00
_cell_angle_beta 90.28
_cell_angle_gamma 90.00
_symmetry_space_group_name_H-M 'P 1 2/m 1'
_symmetry_Int_Tables_number 10
_symmetry_space_group_name_Hall '-P 2y'
loop_
_atom_site_label
_atom_site_type_symbol
_atom_site_fract_x
_atom_site_fract_y
_atom_site_fract_z
_atom_site_occupancy
Ca1 Ca 0.000 0.000 0.000 1
Sn1 Sn 0.500 0.246 0.500 1
Pb1 Pb 0.000 0.500 0.000 1
Br1 Br 0.236 0.240 0.160 1
Br2 Br 0.258 0.000 0.668 1
Br3 Br 0.264 0.500 0.656 1
```

raw formation energy = -13.2 eV/f.u.
theoretical density = 4.26 g cm⁻³
electronic total energy = -40.3 eV/cell
D(E_F) = 0.00 states/eV/cell
crystal system = monoclinic

***

No. 5
First-principles (PBE-GGA) data for a geometry-optimized Pm4PrPd5 structure, as listed in Alexandria.

```
data_Pm4PrPd5
_chemical_formula_sum 'Pm4 Pr1 Pd5'
_cell_length_a 3.571
_cell_length_b 3.571
_cell_length_c 18.418
_cell_angle_alpha 90.00
_cell_angle_beta 90.00
_cell_angle_gamma 90.00
_symmetry_space_group_name_H-M 'P 4/m m m'
_symmetry_Int_Tables_number 123
_symmetry_space_group_name_Hall '-P 4 2'
loop_
_atom_site_label
_atom_site_type_symbol
_atom_site_fract_x
_atom_site_fract_y
_atom_site_fract_z
_atom_site_occupancy
Pm1 Pm 0.000 0.000 0.099 1
Pm2 Pm 0.000 0.000 0.298 1
Pr1 Pr 0.000 0.000 0.500 1
Pd1 Pd 0.500 0.500 0.000 1
Pd2 Pd 0.500 0.500 0.199 1
Pd3 Pd 0.500 0.500 0.395 1
```

calculated formation energy = -0.75 eV/atom
theoretical density = 8.86 g cm⁻³
electronic total energy = -57.3 eV/cell
D(E_F) = 7.55 states/eV/cell
crystal system = tetragonal

***

No. 6
First-principles (PBE-GGA) data for a geometry-optimized Nb3Mo2Os structure, as listed in Alexandria.

```
data_Nb3Mo2Os
_chemical_formula_sum 'Nb3 Mo2 Os1'
_cell_length_a 3.217
_cell_length_b 3.217
_cell_length_c 9.684
_cell_angle_alpha 90.00
_cell_angle_beta 90.00
_cell_angle_gamma 90.00
_symmetry_space_group_name_H-M 'P 4/m m m'
_symmetry_Int_Tables_number 123
_symmetry_space_group_name_Hall '-P 4 2'
loop_
_atom_site_label
_atom_site_type_symbol
_atom_site_fract_x
_atom_site_fract_y
_atom_site_fract_z
_atom_site_occupancy
Nb1 Nb 0.000 0.000 0.000 1
Nb2 Nb 0.000 0.000 0.333 1
Mo1 Mo 0.500 0.500 0.169 1
Os1 Os 0.500 0.500 0.500 1
```

calculated formation energy = -0.18 eV/atom
theoretical density = 10.95 g cm⁻³
E above lowest polymorph = 0.21 eV per formula unit
electronic total energy = -64.2 eV/cell
D(E_F) = 3.81 states/eV/cell
crystal system = tetragonal

***

No. 7
First-principles (PBE-GGA) data for a geometry-optimized ScP2Br structure, as listed in Alexandria.

```
data_ScP2Br
_chemical_formula_sum 'Sc2 P4 Br2'
_cell_length_a 3.441
_cell_length_b 4.930
_cell_length_c 13.200
_cell_angle_alpha 90.00
_cell_angle_beta 90.00
_cell_angle_gamma 90.00
_symmetry_space_group_name_H-M 'I m m 2'
_symmetry_Int_Tables_number 44
_symmetry_space_group_name_Hall 'I 2 -2'
loop_
_atom_site_label
_atom_site_type_symbol
_atom_site_fract_x
_atom_site_fract_y
_atom_site_fract_z
_atom_site_occupancy
Sc1 Sc 0.000 0.000 0.000 1
P1 P 0.000 0.000 0.572 1
P2 P 0.000 0.500 0.958 1
Br1 Br 0.000 0.500 0.346 1
```

raw formation energy = -2.7 eV/f.u.
theoretical density = 2.77 g cm⁻³
E above lowest polymorph = 0.68 eV per formula unit
electronic total energy = -43.0 eV/cell
D(E_F) = 0.88 states/eV/cell
crystal system = orthorhombic

***

No. 8
First-principles (PBE-GGA) data for a geometry-optimized SrTlOs2 structure, as listed in Alexandria.

```
data_SrTlOs2
_chemical_formula_sum 'Sr1 Tl1 Os2'
_cell_length_a 3.198
_cell_length_b 4.824
_cell_length_c 5.151
_cell_angle_alpha 90.00
_cell_angle_beta 90.00
_cell_angle_gamma 90.00
_symmetry_space_group_name_H-M 'P m m m'
_symmetry_Int_Tables_number 47
_symmetry_space_group_name_Hall '-P 2 2'
loop_
_atom_site_label
_atom_site_type_symbol
_atom_site_fract_x
_atom_site_fract_y
_atom_site_fract_z
_atom_site_occupancy
Sr1 Sr 0.000 0.000 0.000 1
Tl1 Tl 0.500 0.000 0.500 1
Os1 Os 0.000 0.500 0.500 1
Os2 Os 0.500 0.500 0.000 1
```

calculated formation energy = 1.18 eV/atom
theoretical density = 14.05 g cm⁻³
E above lowest polymorph = 3.59 eV per formula unit
electronic total energy = -21.8 eV/cell
D(E_F) = 5.24 states/eV/cell
crystal system = orthorhombic

***

No. 9
First-principles (PBE-GGA) data for a geometry-optimized CdTc2Se structure, as listed in Alexandria.

```
data_CdTc2Se
_chemical_formula_sum 'Cd1 Tc2 Se1'
_cell_length_a 3.944
_cell_length_b 3.944
_cell_length_c 4.372
_cell_angle_alpha 90.00
_cell_angle_beta 90.00
_cell_angle_gamma 90.00
_symmetry_space_group_name_H-M 'P 4/m m m'
_symmetry_Int_Tables_number 123
_symmetry_space_group_name_Hall '-P 4 2'
loop_
_atom_site_label
_atom_site_type_symbol
_atom_site_fract_x
_atom_site_fract_y
_atom_site_fract_z
_atom_site_occupancy
Cd1 Cd 0.000 0.000 0.000 1
Tc1 Tc 0.000 0.500 0.500 1
Se1 Se 0.500 0.500 0.000 1
```

raw formation energy = 3.1 eV/f.u.
theoretical density = 9.46 g cm⁻³
E above lowest polymorph = 2.67 eV per formula unit
electronic total energy = -22.1 eV/cell
D(E_F) = 5.30 states/eV/cell
crystal system = tetragonal

***

No. 10
First-principles (PBE-GGA) data for a geometry-optimized Ca2FeTcS structure, as listed in Alexandria.

```
data_Ca2FeTcS
_chemical_formula_sum 'Ca2 Fe1 Tc1 S1'
_cell_length_a 5.511
_cell_length_b 5.511
_cell_length_c 4.258
_cell_angle_alpha 90.00
_cell_angle_beta 90.00
_cell_angle_gamma 90.00
_symmetry_space_group_name_H-M 'P 4/m m m'
_symmetry_Int_Tables_number 123
_symmetry_space_group_name_Hall '-P 4 2'
loop_
_atom_site_label
_atom_site_type_symbol
_atom_site_fract_x
_atom_site_fract_y
_atom_site_fract_z
_atom_site_occupancy
Ca1 Ca 0.000 0.500 0.000 1
Fe1 Fe 0.000 0.000 0.500 1
Tc1 Tc 0.000 0.000 0.000 1
S1 S 0.500 0.500 0.500 1
```

raw formation energy = 2.1 eV/f.u.
theoretical density = 3.42 g cm⁻³
electronic total energy = -24.8 eV/cell
D(E_F) = 4.26 states/eV/cell
crystal system = tetragonal

***

No. 11
First-principles (PBE-GGA) data for a geometry-optimized BaZn6 structure, as listed in Alexandria.

```
data_BaZn6
_chemical_formula_sum 'Ba4 Zn24'
_cell_length_a 9.413
_cell_length_b 5.245
_cell_length_c 11.161
_cell_angle_alpha 90.00
_cell_angle_beta 90.00
_cell_angle_gamma 90.00
_symmetry_space_group_name_H-M 'P n m a'
_symmetry_Int_Tables_number 62
_symmetry_space_group_name_Hall '-P 2ac 2n'
loop_
_atom_site_label
_atom_site_type_symbol
_atom_site_fract_x
_atom_site_fract_y
_atom_site_fract_z
_atom_site_occupancy
Ba1 Ba 0.239 0.250 0.059 1
Zn1 Zn 0.045 0.750 0.102 1
Zn2 Zn 0.067 0.250 0.523 1
Zn3 Zn 0.074 0.009 0.311 1
Zn4 Zn 0.125 0.750 0.861 1
Zn5 Zn 0.187 0.250 0.749 1
```

calculated formation energy = -0.11 eV/atom
theoretical density = 6.39 g cm⁻³
E above lowest polymorph = 0.00 eV per formula unit
electronic total energy = -41.2 eV/cell
D(E_F) = 13.55 states/eV/cell
crystal system = orthorhombic

***

No. 12
First-principles (PBE-GGA) data for a geometry-optimized CsErAgCl6 structure, as listed in Alexandria.

```
data_CsErAgCl6
_chemical_formula_sum 'Cs1 Er1 Ag1 Cl6'
_cell_length_a 6.792
_cell_length_b 6.798
_cell_length_c 7.785
_cell_angle_alpha 91.96
_cell_angle_beta 92.07
_cell_angle_gamma 115.77
_symmetry_space_group_name_H-M 'P 1'
_symmetry_Int_Tables_number 1
_symmetry_space_group_name_Hall 'P 1'
loop_
_atom_site_label
_atom_site_type_symbol
_atom_site_fract_x
_atom_site_fract_y
_atom_site_fract_z
_atom_site_occupancy
Cs1 Cs 0.000 0.000 0.000 1
Er1 Er 0.341 0.660 0.500 1
Ag1 Ag 0.684 0.317 0.500 1
Cl1 Cl 0.023 0.355 0.668 1
Cl2 Cl 0.044 0.621 0.273 1
Cl3 Cl 0.381 0.956 0.728 1
Cl4 Cl 0.408 0.362 0.305 1
Cl5 Cl 0.639 0.591 0.695 1
Cl6 Cl 0.645 0.978 0.332 1
```

raw formation energy = -14.3 eV/f.u.
theoretical density = 3.19 g cm⁻³
electronic total energy = -33.7 eV/cell
D(E_F) = 1.01 states/eV/cell
crystal system = triclinic

***

> The highest D(E_F) belongs to which entry?

BaZn6

***

> Among the records above, which one has the highest theoretical density?

SrTlOs2

***

> Which value of theoretical density does entry 4 give?

4.26 g cm⁻³

***

> Look up the D(E_F) of the sixth one.

3.81 states/eV/cell